Record 1
{"formula": "ErGaB", "functional": "PBE", "state": "optimized geometry", "e_tot_ha_per_atom": -0.1808, "cell": [[0.000, 2.899, 2.899], [2.899, 0.000, 2.899], [2.899, 2.899, 0.000]], "species": ["Er", "Ga", "B"], "fractional_positions": [[0.000, 0.000, 0.000], [0.500, 0.500, 0.500], [0.250, 0.250, 0.250]]}



Record 2
{"formula": "Gd2Er2B3", "functional": "PBE", "state": "optimized geometry", "e_tot_ha_per_atom": -0.1953, "cell": [[1.579, -13.170, 0.000], [1.579, 13.170, 0.000], [0.000, 0.000, 3.562]], "species": ["Gd", "Gd", "Er", "Er", "B", "B", "B"], "fractional_positions": [[0.055, 0.945, 0.000], [0.945, 0.055, 0.000], [0.337, 0.663, 0.500], [0.663, 0.337, 0.500], [0.241, 0.759, 0.500], [0.500, 0.500, 0.500], [0.759, 0.241, 0.500]]}



Record 3
{"formula": "GdErB2Ir2N2", "functional": "PBE", "state": "optimized geometry", "e_tot_ha_per_atom": -0.3039, "cell": [[3.743, 0.000, 0.000], [0.000, 3.743, 0.000], [0.000, 0.000, 7.449]], "species": ["Gd", "Er", "B", "B", "Ir", "Ir", "N", "N"], "fractional_positions": [[0.000, 0.000, 0.000], [0.500, 0.500, 0.325], [0.000, 0.000, 0.507], [0.500, 0.500, 0.820], [0.000, 0.500, 0.662], [0.500, 0.000, 0.662], [0.000, 0.000, 0.307], [0.500, 0.500, 0.021]]}



Record 4
{"formula": "GdErSi2BMo2", "functional": "PBE", "state": "optimized geometry", "e_tot_ha_per_atom": -0.2732, "cell": [[5.525, -1.976, 0.000], [5.525, 1.976, 0.000], [-4.016, 0.000, 5.826]], "species": ["Gd", "Er", "Si", "Si", "B", "Mo", "Mo"], "fractional_positions": [[0.000, 0.000, 0.000], [0.152, 0.152, 0.605], [0.446, 0.446, 0.640], [0.707, 0.707, 0.964], [0.578, 0.578, 0.308], [0.361, 0.361, 0.217], [0.793, 0.793, 0.390]]}



Record 5
{"formula": "GdErNi2B2N2", "functional": "PBE", "state": "optimized geometry", "e_tot_ha_per_atom": -0.2716, "cell": [[3.496, 0.000, 0.000], [0.000, 3.496, 0.000], [0.000, 0.000, 7.506]], "species": ["Gd", "Er", "Ni", "Ni", "B", "B", "N", "N"], "fractional_positions": [[0.000, 0.000, 0.000], [0.500, 0.500, 0.665], [0.000, 0.500, 0.333], [0.500, 0.000, 0.333], [0.000, 0.000, 0.491], [0.500, 0.500, 0.170], [0.000, 0.000, 0.685], [0.500, 0.500, 0.975]]}



Record 6
{"formula": "GdErNi8B2", "functional": "PBE", "state": "optimized geometry", "polymorph_energy_mev_per_atom": 0, "cell": [[4.984, 0.000, 0.000], [-2.492, 4.316, 0.000], [0.000, 0.000, 6.957]], "species": ["Gd", "Er", "Ni", "Ni", "Ni", "Ni", "Ni", "Ni", "Ni", "Ni", "B", "B"], "fractional_positions": [[0.000, 0.000, 0.000], [0.000, 0.000, 0.500], [0.000, 0.500, 0.293], [0.000, 0.500, 0.707], [0.333, 0.667, 0.000], [0.500, 0.000, 0.293], [0.500, 0.000, 0.707], [0.500, 0.500, 0.293], [0.500, 0.500, 0.707], [0.667, 0.333, 0.000], [0.333, 0.667, 0.500], [0.667, 0.333, 0.500]]}



no.,calculated density (g/cm³)
1,8.4
2,7.6
3,12.1
4,7.6
5,8.9
6,9.0